a.
# ZnNiRh (GGA-PBE, relaxed)
# **Magnetization**: 0.7 μB/cell
# **Fermi-level density of states**: 1.30 states/eV/atom
# **Theoretical density**: 7.83 g/cm³
data_ZnNiRh
_symmetry_space_group_name_H-M 'P 1 2/m 1'
_symmetry_Int_Tables_number 10
_symmetry_space_group_name_Hall '-P 2y'
_cell_length_a 4.260
_cell_length_b 2.664
_cell_length_c 4.406
_cell_angle_alpha 90.00
_cell_angle_beta 105.75
_cell_angle_gamma 90.00
loop_
_atom_site_label
_atom_site_fract_x
_atom_site_fract_y
_atom_site_fract_z
_atom_site_occupancy
Zn1 0.000 0.000 0.000 1
Ni1 0.500 0.000 0.500 1
Rh1 0.000 0.500 0.500 1


b.
# ZnNiRh (GGA-PBE, relaxed)
# **Magnetization**: 0.7 μB/cell
# **Fermi-level density of states**: 1.45 states/eV/atom
# **Theoretical density**: 9.69 g/cm³
data_ZnNiRh
_symmetry_space_group_name_H-M 'I 4 m m'
_symmetry_Int_Tables_number 107
_symmetry_space_group_name_Hall 'I 4 -2'
_cell_length_a 2.751
_cell_length_b 2.751
_cell_length_c 10.281
_cell_angle_alpha 90.00
_cell_angle_beta 90.00
_cell_angle_gamma 90.00
loop_
_atom_site_label
_atom_site_fract_x
_atom_site_fract_y
_atom_site_fract_z
_atom_site_occupancy
Zn1 0.000 0.000 0.000 1
Ni1 0.000 0.000 0.659 1
Rh1 0.000 0.000 0.324 1


What is the stability order? It is b, a, from most stable to least stable.